No. 1
# VTePd6 PBE relaxed
data_VTePd6
_cell_length_a 3.981
_cell_length_b 3.981
_cell_length_c 8.061
_cell_angle_alpha 90.00
_cell_angle_beta 90.00
_cell_angle_gamma 90.00
_space_group_name_H-M_alt 'P 1'
_space_group_IT_number 1
loop_
_space_group_symop_operation_xyz
'x,y,z'
loop_
_atom_site_label
_atom_site_type_symbol
_atom_site_fract_x
_atom_site_fract_y
_atom_site_fract_z
V1 V 0.000 0.000 0.000
Te1 Te 0.000 0.000 0.500
Pd1 Pd 0.000 0.500 0.229
Pd2 Pd 0.000 0.500 0.771
Pd3 Pd 0.500 0.000 0.229
Pd4 Pd 0.500 0.000 0.771
Pd5 Pd 0.500 0.500 0.000
Pd6 Pd 0.500 0.500 0.500
# Total moment, μB/cell: 0.5
# Formation energy without anion corrections, meV per atom: -216
# Energy above the lowest structure with this stoichiometry, eV/f.u.: 0.00

***

No. 2
# MoAsRuBr2 PBE relaxed
data_MoAsRuBr2
_cell_length_a 5.213
_cell_length_b 5.213
_cell_length_c 4.641
_cell_angle_alpha 90.00
_cell_angle_beta 90.00
_cell_angle_gamma 90.00
_space_group_name_H-M_alt 'P 1'
_space_group_IT_number 1
loop_
_space_group_symop_operation_xyz
'x,y,z'
loop_
_atom_site_label
_atom_site_type_symbol
_atom_site_fract_x
_atom_site_fract_y
_atom_site_fract_z
Mo1 Mo 0.000 0.000 0.000
As1 As 0.500 0.500 0.000
Ru1 Ru 0.500 0.500 0.500
Br1 Br 0.000 0.500 0.500
Br2 Br 0.500 0.000 0.500
# Total moment, μB/cell: 4.5
# Formation energy without anion corrections, meV per atom: 973
# Energy above the lowest structure with this stoichiometry, eV/f.u.: 0.00

***

What is the energy above the lowest structure with this stoichiometry in the first record? 0.00 eV/f.u.

***

Please write out number 1 again, unchanged.
# VTePd6 PBE relaxed
data_VTePd6
_cell_length_a 3.981
_cell_length_b 3.981
_cell_length_c 8.061
_cell_angle_alpha 90.00
_cell_angle_beta 90.00
_cell_angle_gamma 90.00
_space_group_name_H-M_alt 'P 1'
_space_group_IT_number 1
loop_
_space_group_symop_operation_xyz
'x,y,z'
loop_
_atom_site_label
_atom_site_type_symbol
_atom_site_fract_x
_atom_site_fract_y
_atom_site_fract_z
V1 V 0.000 0.000 0.000
Te1 Te 0.000 0.000 0.500
Pd1 Pd 0.000 0.500 0.229
Pd2 Pd 0.000 0.500 0.771
Pd3 Pd 0.500 0.000 0.229
Pd4 Pd 0.500 0.000 0.771
Pd5 Pd 0.500 0.500 0.000
Pd6 Pd 0.500 0.500 0.500
# Total moment, μB/cell: 0.5
# Formation energy without anion corrections, meV per atom: -216
# Energy above the lowest structure with this stoichiometry, eV/f.u.: 0.00